Entry 1:
Compound: AlGa3N
Source: Alexandria
Functional: GGA-PBE
Structure: relaxed

Cell lengths 4.3528, 4.3528, 4.3528 Å; angles 90.00, 90.00, 90.00 degrees
Last column: nearest neighbours and their distance in Å.
Space group Pm-3m (No. 221)
Symmetry-distinct sites (fractional):
Al: 0.0000 0.0000 0.0000 (multiplicity 1)  12 Ga 3.08
Ga: 0.0000 0.5000 0.5000 (multiplicity 3)  2 N 2.18
N: 0.5000 0.5000 0.5000 (multiplicity 1)  6 Ga 2.18

Calculated values
ΔE to the lowest computed polymorph	0	meV/atom
total DFT energy (no corrections)	-18.91	eV for the cell shown
energy relative to the elements, uncorrected	0.45	eV/atom
magnetization	0.000	μB per atom
Fermi-level density of states	0.61	states/eV per atom

=====

Entry 2:
Compound: AlGaN2
Source: Alexandria
Functional: GGA-PBE
Structure: relaxed

Cell lengths 4.4710, 4.4710, 8.9473 Å; angles 90.00, 90.00, 90.00 degrees
Last column: nearest neighbours and their distance in Å.
Space group I-42d (No. 122)
Symmetry-distinct sites (fractional):
Al: 0.0000 0.0000 0.0000 (multiplicity 4)  4 N 1.90
Ga: 0.0000 0.0000 0.5000 (multiplicity 4)  4 N 1.97
N: 0.2366 0.2500 0.1250 (multiplicity 8)  2 Al 1.90, 2 Ga 1.97

Calculated values
ΔE to the lowest computed polymorph	4	meV/atom
total DFT energy (no corrections)	-108.61	eV for the cell shown
energy relative to the elements, uncorrected	-0.93	eV/atom
magnetization	0.000	μB per atom
Fermi-level density of states	0.00	states/eV per atom

=====

Which value of total DFT energy (no corrections) does entry 2 give? -108.61 eV for the cell shown